Sm3CuSnSe7 | PBEsol | relaxed

Cell lengths 10.378, 10.378, 6.149 Å; angles 90.00, 90.00, 120.00 degrees
Atoms (fractional coordinates):
Sm 0.137 0.782 0.000
Sm 0.218 0.355 0.000
Sm 0.355 0.137 0.500
Sm 0.645 0.863 0.000
Sm 0.782 0.645 0.500
Sm 0.863 0.218 0.500
Cu 0.000 0.000 0.044
Cu 0.000 0.000 0.544
Sn 0.333 0.667 0.423
Sn 0.667 0.333 0.923
Se 0.080 0.511 0.244
Se 0.103 0.843 0.528
Se 0.157 0.260 0.528
Se 0.260 0.103 0.028
Se 0.333 0.667 0.828
Se 0.431 0.920 0.244
Se 0.489 0.569 0.244
Se 0.511 0.431 0.744
Se 0.569 0.080 0.744
Se 0.667 0.333 0.328
Se 0.740 0.897 0.528
Se 0.843 0.740 0.028
Se 0.897 0.157 0.028
Se 0.920 0.489 0.744

Results
* total magnetic moment: 0.0 μB/cell
* DFT total energy: -5.54 eV/atom